VASP calculation (PBE) on an optimized crystal structure of Na3ZrNp2S6.

a = 6.7663 Å, b = 6.7663 Å, c = 7.0917 Å
α = 99.16°, β = 99.16°, γ = 120.02°
Fractional positions:
Na1 0.1668 0.8332 0.5000
Na2 0.8332 0.1668 0.5000
Na3 0.5000 0.5000 0.5000
Zr1 0.0000 0.0000 0.0000
Np1 0.3332 0.6668 0.0000
Np2 0.6668 0.3332 0.0000
S1 0.9242 0.6028 0.7728
S2 0.7539 0.7539 0.2258
S3 0.0758 0.3972 0.2272
S4 0.6028 0.9242 0.7728
S5 0.2461 0.2461 0.7742
S6 0.3972 0.0758 0.2272

M_tot ... 0.751 μB per atom
E ... -79.9 eV for the cell shown
Uncorrected formation energy ... -1.40 eV/atom
Space group ... C2/m (12)
Calculated density ... 5.2 g/cm3

VASP calculation (PBE) on an optimized crystal structure of Tb5HoMg3.

a = 6.9333 Å, b = 9.3751 Å, c = 9.3748 Å
α = 120.00°, β = 90.00°, γ = 90.00°
Fractional positions:
Tb1 0.0000 0.6667 0.3333
Tb2 0.5000 0.3333 0.6667
Tb3 0.0000 0.3333 0.6667
Tb4 0.5000 0.6667 0.3333
Tb5 0.7500 0.6673 0.6673
Tb6 0.7500 0.0000 0.3327
Tb7 0.7500 0.3327 0.0000
Tb8 0.2500 0.3327 0.3327
Tb9 0.2500 0.0000 0.6673
Tb10 0.2500 0.6673 0.0000
Ho1 0.0000 0.0000 0.0000
Ho2 0.5000 0.0000 0.0000
Mg1 0.7500 0.3328 0.3328
Mg2 0.7500 0.0000 0.6672
Mg3 0.7500 0.6672 0.0000
Mg4 0.2500 0.6672 0.6672
Mg5 0.2500 0.0000 0.3328
Mg6 0.2500 0.3328 0.0000

M_tot ... 0.000 μB per atom
E ... -64.9 eV for the cell shown
Space group ... P6_3/mcm (193)
Calculated density ... 6.5 g/cm3

VASP calculation (PBE) on an optimized crystal structure of RbGe3.

a = 4.0088 Å, b = 4.0002 Å, c = 7.1131 Å
α = 90.00°, β = 90.00°, γ = 90.00°
Fractional positions:
Ge1 0.0000 0.0000 0.8695
Ge2 0.5000 0.0000 0.6160
Ge3 0.5000 0.5000 0.8701
Rb1 0.0000 0.5000 0.3111

M_tot ... 0.000 μB per atom
E ... -14.8 eV for the cell shown
Polymorph energy (0 for the lowest one) ... 14 meV per atom
Space group ... P4mm (99)
Calculated density ... 4.4 g/cm3

VASP calculation (PBE) on an optimized crystal structure of Mn2TlCuBr8.

a = 6.8331 Å, b = 6.8331 Å, c = 9.2930 Å
α = 90.00°, β = 90.00°, γ = 120.00°
Fractional positions:
Mn1 0.6667 0.3333 0.2649
Mn2 0.3333 0.6667 0.7351
Tl1 0.0000 0.0000 0.0000
Cu1 0.0000 0.0000 0.5000
Br1 0.3333 0.6667 0.9911
Br2 0.3080 0.3010 0.3327
Br3 0.6990 0.0070 0.3327
Br4 0.6667 0.3333 0.0089
Br5 0.3010 0.9930 0.6673
Br6 0.6920 0.6990 0.6673
Br7 0.0070 0.3080 0.6673
Br8 0.9930 0.6920 0.3327

M_tot ... 0.667 μB per atom
E ... -45.1 eV for the cell shown
Uncorrected formation energy ... -0.58 eV/atom
Space group ... P-3 (147)
Calculated density ... 4.5 g/cm3

VASP calculation (PBE) on an optimized crystal structure of Sr2CoSe.

a = 6.9018 Å, b = 6.9018 Å, c = 6.9018 Å
α = 143.35°, β = 143.35°, γ = 52.79°
Fractional positions:
Co1 0.5000 0.5000 0.0000
Se1 0.7500 0.2500 0.5000
Sr1 0.0000 0.0000 0.0000
Sr2 0.2500 0.7500 0.5000

M_tot ... 0.312 μB per atom
E ... -15.2 eV for the cell shown
Uncorrected formation energy ... -0.31 eV/atom
Space group ... I-4m2 (119)
Calculated density ... 4.5 g/cm3

VASP calculation (PBE) on an optimized crystal structure of Fe3PAu.

a = 4.1978 Å, b = 4.1978 Å, c = 4.1978 Å
α = 90.00°, β = 90.00°, γ = 90.00°
Fractional positions:
P1 0.0000 0.0000 0.0000
Au1 0.5000 0.5000 0.5000
Fe1 0.0000 0.5000 0.0000
Fe2 0.0000 0.0000 0.5000
Fe3 0.5000 0.0000 0.0000

M_tot ... 1.307 μB per atom
E ... -32.7 eV for the cell shown
Polymorph energy (0 for the lowest one) ... 0 meV per atom
Space group ... Pm-3m (221)
Calculated density ... 8.9 g/cm3